(1)
Entry from the Alexandria database: a relaxed structure of LaAs2Cl (PBE).

Structure (CIF):
```
data_LaAs2Cl
_space_group_name_H-M_alt 'I -4 m 2'
_space_group_IT_number 119
_space_group_name_Hall 'I -4 -2'
_cell_length_a 4.812
_cell_length_b 4.812
_cell_length_c 8.088
_cell_angle_alpha 90.00
_cell_angle_beta 90.00
_cell_angle_gamma 90.00
loop_
_atom_site_label
_atom_site_fract_x
_atom_site_fract_y
_atom_site_fract_z
La1 0.000 0.000 0.000
As1 0.000 0.000 0.500
As2 0.000 0.500 0.750
Cl1 0.000 0.500 0.250
```

For the polymorph energy (0 for the lowest one), the calculation gives 0.4683 eV per atom. The calculation puts the size of the total moment at 0.000 Bohr magnetons per cell. The value obtained for the formation energy (no corrections) is -0.71 eV per atom.

---

(2)
Entry from the Alexandria database: a relaxed structure of LaAs2Cl (PBE).

Structure (CIF):
```
data_LaAs2Cl
_space_group_name_H-M_alt 'C 1 2/m 1'
_space_group_IT_number 12
_space_group_name_Hall '-C 2y'
_cell_length_a 11.639
_cell_length_b 3.903
_cell_length_c 4.324
_cell_angle_alpha 90.00
_cell_angle_beta 106.56
_cell_angle_gamma 90.00
loop_
_atom_site_label
_atom_site_fract_x
_atom_site_fract_y
_atom_site_fract_z
La1 0.000 0.000 0.000
As1 0.246 0.500 0.187
Cl1 0.000 0.500 0.500
```

For the polymorph energy (0 for the lowest one), the calculation gives 0.0000 eV per atom. The calculation puts the size of the total moment at 0.000 Bohr magnetons per cell. The value obtained for the formation energy (no corrections) is -1.17 eV per atom.

---

(3)
Entry from the Alexandria database: a relaxed structure of La7AsCl12 (PBE).

Structure (CIF):
```
data_La7AsCl12
_space_group_name_H-M_alt 'R -3'
_space_group_IT_number 148
_space_group_name_Hall '-R 3'
_cell_length_a 15.1212
_cell_length_b 15.1212
_cell_length_c 10.0349
_cell_angle_alpha 90.00
_cell_angle_beta 90.00
_cell_angle_gamma 120.00
loop_
_atom_site_label
_atom_site_fract_x
_atom_site_fract_y
_atom_site_fract_z
La1 0.0000 0.0000 0.0000
La2 0.0418 0.8700 0.3393
As1 0.0000 0.0000 0.5000
Cl1 0.0268 0.4443 0.1610
Cl2 0.0423 0.8697 0.8396
```

The calculation puts the size of the total moment at 0.474 Bohr magnetons per cell. The value obtained for the formation energy (no corrections) is -2.10 eV per atom.

---

(4)
Entry from the Alexandria database: a relaxed structure of LaAsCl2 (PBE).

Structure (CIF):
```
data_LaAsCl2
_space_group_name_H-M_alt 'P 1 m 1'
_space_group_IT_number 6
_space_group_name_Hall 'P -2y'
_cell_length_a 4.542
_cell_length_b 4.471
_cell_length_c 5.467
_cell_angle_alpha 90.00
_cell_angle_beta 97.54
_cell_angle_gamma 90.00
loop_
_atom_site_label
_atom_site_fract_x
_atom_site_fract_y
_atom_site_fract_z
La1 0.000 0.000 0.000
As1 0.467 0.500 0.904
Cl1 0.290 0.500 0.289
Cl2 0.820 0.000 0.491
```

For the polymorph energy (0 for the lowest one), the calculation gives 0.0116 eV per atom. The calculation puts the size of the total moment at 0.000 Bohr magnetons per cell. The value obtained for the formation energy (no corrections) is -1.44 eV per atom.

---

(5)
Entry from the Alexandria database: a relaxed structure of La2AsCl (PBE).

Structure (CIF):
```
data_La2AsCl
_space_group_name_H-M_alt 'F m -3 m'
_space_group_IT_number 225
_space_group_name_Hall '-F 4 2 3'
_cell_length_a 7.373
_cell_length_b 7.373
_cell_length_c 7.373
_cell_angle_alpha 90.00
_cell_angle_beta 90.00
_cell_angle_gamma 90.00
loop_
_atom_site_label
_atom_site_fract_x
_atom_site_fract_y
_atom_site_fract_z
La1 0.250 0.250 0.250
As1 0.000 0.000 0.000
Cl1 0.000 0.000 0.500
```

The calculation puts the size of the total moment at 0.022 Bohr magnetons per cell. The value obtained for the formation energy (no corrections) is -1.46 eV per atom.

---

(6)
Entry from the Alexandria database: a relaxed structure of La6AsCl8 (PBE).

Structure (CIF):
```
data_La6AsCl8
_space_group_name_H-M_alt 'R -3'
_space_group_IT_number 148
_space_group_name_Hall '-R 3'
_cell_length_a 7.2314
_cell_length_b 7.2314
_cell_length_c 30.7901
_cell_angle_alpha 90.00
_cell_angle_beta 90.00
_cell_angle_gamma 120.00
loop_
_atom_site_label
_atom_site_fract_x
_atom_site_fract_y
_atom_site_fract_z
La1 0.9999 0.3364 0.0535
As1 0.0000 0.0000 0.0000
Cl1 0.0000 0.0000 0.3334
Cl2 0.9998 0.3267 0.8916
```

The calculation puts the size of the total moment at 0.000 Bohr magnetons per cell. The value obtained for the formation energy (no corrections) is -1.93 eV per atom.

---

(7)
Entry from the Alexandria database: a relaxed structure of La4As2Cl3 (PBE).

Structure (CIF):
```
data_La4As2Cl3
_space_group_name_H-M_alt 'C 1 2/m 1'
_space_group_IT_number 12
_space_group_name_Hall '-C 2y'
_cell_length_a 7.464
_cell_length_b 4.309
_cell_length_c 17.044
_cell_angle_alpha 90.00
_cell_angle_beta 90.07
_cell_angle_gamma 90.00
loop_
_atom_site_label
_atom_site_fract_x
_atom_site_fract_y
_atom_site_fract_z
La1 0.001 0.000 0.301
La2 0.166 0.500 0.896
As1 0.167 0.500 0.203
Cl1 0.000 0.000 0.000
Cl2 0.166 0.500 0.604
```

The calculation puts the size of the total moment at 0.000 Bohr magnetons per cell. The value obtained for the formation energy (no corrections) is -1.84 eV per atom.

---

(8)
Entry from the Alexandria database: a relaxed structure of LaAs2Cl (PBE).

Structure (CIF):
```
data_LaAs2Cl
_space_group_name_H-M_alt 'F m -3 m'
_space_group_IT_number 225
_space_group_name_Hall '-F 4 2 3'
_cell_length_a 7.304
_cell_length_b 7.304
_cell_length_c 7.304
_cell_angle_alpha 90.00
_cell_angle_beta 90.00
_cell_angle_gamma 90.00
loop_
_atom_site_label
_atom_site_fract_x
_atom_site_fract_y
_atom_site_fract_z
La1 0.000 0.000 0.000
As1 0.250 0.250 0.250
Cl1 0.000 0.000 0.500
```

For the polymorph energy (0 for the lowest one), the calculation gives 0.8681 eV per atom. The calculation puts the size of the total moment at 0.000 Bohr magnetons per cell. The value obtained for the formation energy (no corrections) is -0.31 eV per atom.

---

(9)
Entry from the Alexandria database: a relaxed structure of LaAsCl2 (PBE).

Structure (CIF):
```
data_LaAsCl2
_space_group_name_H-M_alt 'R 3 m'
_space_group_IT_number 160
_space_group_name_Hall 'R 3 -2"'
_cell_length_a 4.7958
_cell_length_b 4.7958
_cell_length_c 15.1024
_cell_angle_alpha 90.00
_cell_angle_beta 90.00
_cell_angle_gamma 120.00
loop_
_atom_site_label
_atom_site_fract_x
_atom_site_fract_y
_atom_site_fract_z
La1 0.0000 0.0000 0.0000
As1 0.0000 0.0000 0.7830
Cl1 0.0000 0.0000 0.2547
Cl2 0.0000 0.0000 0.4566
```

For the polymorph energy (0 for the lowest one), the calculation gives 0.3646 eV per atom. The calculation puts the size of the total moment at 0.000 Bohr magnetons per cell. The value obtained for the formation energy (no corrections) is -1.09 eV per atom.

---

(10)
Entry from the Alexandria database: a relaxed structure of LaAs2Cl (PBE).

Structure (CIF):
```
data_LaAs2Cl
_space_group_name_H-M_alt 'I m m 2'
_space_group_IT_number 44
_space_group_name_Hall 'I 2 -2'
_cell_length_a 3.904
_cell_length_b 5.479
_cell_length_c 9.017
_cell_angle_alpha 90.00
_cell_angle_beta 90.00
_cell_angle_gamma 90.00
loop_
_atom_site_label
_atom_site_fract_x
_atom_site_fract_y
_atom_site_fract_z
La1 0.000 0.000 0.000
As1 0.000 0.000 0.501
As2 0.000 0.500 0.826
Cl1 0.000 0.500 0.261
```

For the polymorph energy (0 for the lowest one), the calculation gives 0.1161 eV per atom. The calculation puts the size of the total moment at 0.000 Bohr magnetons per cell. The value obtained for the formation energy (no corrections) is -1.06 eV per atom.

---

(11)
Entry from the Alexandria database: a relaxed structure of La2AsCl (PBE).

Structure (CIF):
```
data_La2AsCl
_space_group_name_H-M_alt 'I m m 2'
_space_group_IT_number 44
_space_group_name_Hall 'I 2 -2'
_cell_length_a 3.988
_cell_length_b 4.067
_cell_length_c 14.189
_cell_angle_alpha 90.00
_cell_angle_beta 90.00
_cell_angle_gamma 90.00
loop_
_atom_site_label
_atom_site_fract_x
_atom_site_fract_y
_atom_site_fract_z
La1 0.000 0.000 0.000
La2 0.000 0.500 0.238
As1 0.000 0.000 0.581
Cl1 0.000 0.500 0.826
```

The calculation puts the size of the total moment at 2.864 Bohr magnetons per cell. The value obtained for the formation energy (no corrections) is -1.43 eV per atom.

---

(12)
Entry from the Alexandria database: a relaxed structure of LaAsCl2 (PBE).

Structure (CIF):
```
data_LaAsCl2
_space_group_name_H-M_alt 'I m m m'
_space_group_IT_number 71
_space_group_name_Hall '-I 2 2'
_cell_length_a 3.665
_cell_length_b 5.485
_cell_length_c 13.583
_cell_angle_alpha 90.00
_cell_angle_beta 90.00
_cell_angle_gamma 90.00
loop_
_atom_site_label
_atom_site_fract_x
_atom_site_fract_y
_atom_site_fract_z
La1 0.000 0.000 0.000
As1 0.000 0.000 0.500
Cl1 0.000 0.500 0.342
```

For the polymorph energy (0 for the lowest one), the calculation gives 0.2026 eV per atom. The calculation puts the size of the total moment at 1.693 Bohr magnetons per cell. The value obtained for the formation energy (no corrections) is -1.25 eV per atom.

---

(13)
Entry from the Alexandria database: a relaxed structure of LaAsCl2 (PBE).

Structure (CIF):
```
data_LaAsCl2
_space_group_name_H-M_alt 'P 4 m m'
_space_group_IT_number 99
_space_group_name_Hall 'P 4 -2'
_cell_length_a 4.334
_cell_length_b 4.334
_cell_length_c 5.813
_cell_angle_alpha 90.00
_cell_angle_beta 90.00
_cell_angle_gamma 90.00
loop_
_atom_site_label
_atom_site_fract_x
_atom_site_fract_y
_atom_site_fract_z
La1 0.000 0.000 0.000
As1 0.500 0.500 0.124
Cl1 0.000 0.000 0.475
Cl2 0.500 0.500 0.724
```

For the polymorph energy (0 for the lowest one), the calculation gives 0.1155 eV per atom. The calculation puts the size of the total moment at 0.000 Bohr magnetons per cell. The value obtained for the formation energy (no corrections) is -1.33 eV per atom.